#one
{
  "formula": "Dy8Ho2Er",
  "functional": "GGA-PBE",
  "state": "relaxed",
  "cell": [[9.399, -3.449, 0.000], [9.399, 3.449, 0.000], [-0.290, 0.000, 5.534]],
  "species": ["Dy", "Dy", "Dy", "Dy", "Dy", "Dy", "Dy", "Dy", "Ho", "Ho", "Er"],
  "frac_coords": [[0.046, 0.046, 0.235], [0.103, 0.634, 0.268], [0.313, 0.313, 0.768], [0.366, 0.897, 0.732], [0.634, 0.103, 0.268], [0.687, 0.687, 0.232], [0.897, 0.366, 0.732], [0.954, 0.954, 0.765], [0.216, 0.216, 0.252], [0.784, 0.784, 0.748], [0.500, 0.500, 0.000]],
  "mass_density_g_cm3": 8.32
}

=====

#two
{
  "formula": "Dy8Ho2Er",
  "functional": "GGA-PBE",
  "state": "relaxed",
  "cell": [[8.528, -3.361, 0.000], [8.528, 3.361, 0.000], [-2.199, 0.000, 6.029]],
  "species": ["Dy", "Dy", "Dy", "Dy", "Dy", "Dy", "Dy", "Dy", "Ho", "Ho", "Er"],
  "frac_coords": [[0.057, 0.057, 0.250], [0.162, 0.631, 0.311], [0.291, 0.291, 0.679], [0.369, 0.838, 0.689], [0.631, 0.162, 0.311], [0.709, 0.709, 0.321], [0.838, 0.369, 0.689], [0.943, 0.943, 0.750], [0.215, 0.215, 0.109], [0.785, 0.785, 0.891], [0.500, 0.500, 0.000]],
  "mass_density_g_cm3": 8.63
}

=====

Which of them is the least stable? Correct choice: #two.

=====

#one
{
  "formula": "DyHo6Er2",
  "functional": "GGA-PBE",
  "state": "relaxed",
  "cell": [[3.455, 1.995, 7.423], [-3.455, 1.995, 7.423], [0.000, -3.990, 7.423]],
  "species": ["Dy", "Ho", "Ho", "Ho", "Ho", "Ho", "Ho", "Er", "Er"],
  "frac_coords": [[0.000, 0.000, 0.000], [0.055, 0.055, 0.563], [0.055, 0.563, 0.055], [0.280, 0.280, 0.769], [0.280, 0.769, 0.280], [0.563, 0.055, 0.055], [0.769, 0.280, 0.280], [0.587, 0.587, 0.587], [0.752, 0.752, 0.752]],
  "mass_density_g_cm3": 8.04
}

=====

#two
{
  "formula": "DyHo6Er2",
  "functional": "GGA-PBE",
  "state": "relaxed",
  "cell": [[6.602, -5.787, 0.000], [6.602, 5.787, 0.000], [-5.175, 0.000, 7.281]],
  "species": ["Dy", "Dy", "Ho", "Ho", "Ho", "Ho", "Ho", "Ho", "Ho", "Ho", "Ho", "Ho", "Ho", "Ho", "Er", "Er", "Er", "Er"],
  "frac_coords": [[0.084, 0.916, 0.750], [0.916, 0.084, 0.250], [0.116, 0.299, 0.133], [0.197, 0.497, 0.594], [0.299, 0.116, 0.633], [0.307, 0.530, 0.014], [0.470, 0.693, 0.486], [0.497, 0.197, 0.094], [0.503, 0.803, 0.906], [0.530, 0.307, 0.514], [0.693, 0.470, 0.986], [0.701, 0.884, 0.367], [0.803, 0.503, 0.406], [0.884, 0.701, 0.867], [0.063, 0.719, 0.305], [0.281, 0.937, 0.195], [0.719, 0.063, 0.805], [0.937, 0.281, 0.695]],
  "mass_density_g_cm3": 8.87
}

=====

Which of them is the least stable? Correct choice: #one.

=====

#one
{
  "formula": "DyHo3Er3",
  "functional": "GGA-PBE",
  "state": "relaxed",
  "cell": [[3.049, 1.760, 14.012], [-3.049, 1.760, 14.012], [0.000, -3.520, 14.012]],
  "species": ["Dy", "Dy", "Ho", "Ho", "Ho", "Ho", "Ho", "Ho", "Er", "Er", "Er", "Er", "Er", "Er"],
  "frac_coords": [[0.167, 0.167, 0.167], [0.833, 0.833, 0.833], [0.036, 0.699, 0.367], [0.301, 0.633, 0.964], [0.367, 0.036, 0.699], [0.633, 0.964, 0.301], [0.699, 0.367, 0.036], [0.964, 0.301, 0.633], [0.099, 0.434, 0.767], [0.233, 0.901, 0.566], [0.434, 0.767, 0.099], [0.566, 0.233, 0.901], [0.767, 0.099, 0.434], [0.901, 0.566, 0.233]],
  "mass_density_g_cm3": 8.53
}

=====

#two
{
  "formula": "DyHo3Er3",
  "functional": "GGA-PBE",
  "state": "relaxed",
  "cell": [[9.482, 0.000, 0.000], [-4.741, 8.211, 0.000], [0.000, 0.000, 5.581]],
  "species": ["Dy", "Dy", "Ho", "Ho", "Ho", "Ho", "Ho", "Ho", "Er", "Er", "Er", "Er", "Er", "Er"],
  "frac_coords": [[0.333, 0.667, 0.250], [0.667, 0.333, 0.750], [0.048, 0.238, 0.250], [0.190, 0.952, 0.250], [0.238, 0.190, 0.750], [0.762, 0.810, 0.250], [0.810, 0.048, 0.750], [0.952, 0.762, 0.750], [0.095, 0.476, 0.750], [0.381, 0.905, 0.750], [0.476, 0.381, 0.250], [0.524, 0.619, 0.750], [0.619, 0.095, 0.250], [0.905, 0.524, 0.250]],
  "mass_density_g_cm3": 8.86
}

=====

Which of them is the least stable? Correct choice: #one.

=====

#one
{
  "formula": "Dy6HoEr4",
  "functional": "GGA-PBE",
  "state": "relaxed",
  "cell": [[2.824, -4.774, 0.000], [2.824, 4.774, 0.000], [0.000, 0.000, 25.407]],
  "species": ["Dy", "Dy", "Dy", "Dy", "Dy", "Dy", "Dy", "Dy", "Dy", "Dy", "Dy", "Dy", "Ho", "Ho", "Er", "Er", "Er", "Er", "Er", "Er", "Er", "Er"],
  "frac_coords": [[0.000, 0.000, 0.000], [0.000, 0.000, 0.500], [0.025, 0.975, 0.750], [0.309, 0.691, 0.104], [0.309, 0.691, 0.396], [0.359, 0.641, 0.682], [0.359, 0.641, 0.818], [0.641, 0.359, 0.182], [0.641, 0.359, 0.318], [0.691, 0.309, 0.604], [0.691, 0.309, 0.896], [0.975, 0.025, 0.250], [0.310, 0.690, 0.250], [0.690, 0.310, 0.750], [0.029, 0.971, 0.622], [0.029, 0.971, 0.878], [0.344, 0.656, 0.543], [0.344, 0.656, 0.957], [0.656, 0.344, 0.043], [0.656, 0.344, 0.457], [0.971, 0.029, 0.122], [0.971, 0.029, 0.378]],
  "mass_density_g_cm3": 8.77
}

=====

#two
{
  "formula": "Dy6HoEr4",
  "functional": "GGA-PBE",
  "state": "relaxed",
  "cell": [[-3.246, 3.246, 8.479], [3.246, -3.246, 8.479], [3.246, 3.246, -8.479]],
  "species": ["Dy", "Dy", "Dy", "Dy", "Dy", "Dy", "Ho", "Er", "Er", "Er", "Er"],
  "frac_coords": [[0.000, 0.500, 0.500], [0.013, 0.640, 0.000], [0.360, 0.360, 0.374], [0.500, 0.000, 0.500], [0.640, 0.013, 0.000], [0.987, 0.987, 0.626], [0.000, 0.000, 0.000], [0.189, 0.189, 0.641], [0.452, 0.811, 0.000], [0.548, 0.548, 0.359], [0.811, 0.452, 0.000]],
  "mass_density_g_cm3": 8.41
}

=====

Which of them is the least stable? Correct choice: #two.

=====

#one
{
  "formula": "Dy2Ho12Er5",
  "functional": "GGA-PBE",
  "state": "relaxed",
  "cell": [[6.433, 0.000, 0.000], [-1.250, 8.667, 0.000], [-0.577, -3.878, 10.600]],
  "species": ["Dy", "Dy", "Ho", "Ho", "Ho", "Ho", "Ho", "Ho", "Ho", "Ho", "Ho", "Ho", "Ho", "Ho", "Er", "Er", "Er", "Er", "Er"],
  "frac_coords": [[0.235, 0.443, 0.459], [0.765, 0.557, 0.541], [0.025, 0.202, 0.136], [0.168, 0.873, 0.576], [0.205, 0.169, 0.859], [0.277, 0.597, 0.041], [0.445, 0.657, 0.769], [0.469, 0.260, 0.630], [0.531, 0.740, 0.370], [0.555, 0.343, 0.231], [0.723, 0.403, 0.959], [0.795, 0.831, 0.141], [0.832, 0.127, 0.424], [0.975, 0.798, 0.864], [0.012, 0.388, 0.718], [0.303, 0.010, 0.300], [0.500, 0.000, 0.000], [0.697, 0.990, 0.700], [0.988, 0.612, 0.282]],
  "mass_density_g_cm3": 8.82
}

=====

#two
{
  "formula": "Dy2Ho12Er5",
  "functional": "GGA-PBE",
  "state": "relaxed",
  "cell": [[7.799, -4.554, 0.000], [7.799, 4.554, 0.000], [-0.155, 0.000, 8.427]],
  "species": ["Dy", "Dy", "Ho", "Ho", "Ho", "Ho", "Ho", "Ho", "Ho", "Ho", "Ho", "Ho", "Ho", "Ho", "Er", "Er", "Er", "Er", "Er"],
  "frac_coords": [[0.179, 0.821, 0.000], [0.821, 0.179, 0.000], [0.058, 0.058, 0.334], [0.066, 0.680, 0.339], [0.163, 0.527, 0.757], [0.320, 0.934, 0.661], [0.408, 0.408, 0.116], [0.473, 0.837, 0.243], [0.527, 0.163, 0.757], [0.592, 0.592, 0.884], [0.680, 0.066, 0.339], [0.837, 0.473, 0.243], [0.934, 0.320, 0.661], [0.942, 0.942, 0.666], [0.198, 0.198, 0.011], [0.268, 0.268, 0.426], [0.500, 0.500, 0.500], [0.732, 0.732, 0.574], [0.802, 0.802, 0.989]],
  "mass_density_g_cm3": 8.71
}

=====

Which of them is the least stable? Correct choice: #two.

=====

#one
{
  "formula": "Dy4HoEr2",
  "functional": "GGA-PBE",
  "state": "relaxed",
  "cell": [[8.293, -1.749, 0.000], [8.293, 1.749, 0.000], [-4.272, 0.000, 7.519]],
  "species": ["Dy", "Dy", "Dy", "Dy", "Ho", "Er", "Er"],
  "frac_coords": [[0.140, 0.140, 0.334], [0.204, 0.204, 0.794], [0.796, 0.796, 0.206], [0.860, 0.860, 0.666], [0.500, 0.500, 0.500], [0.430, 0.430, 0.070], [0.570, 0.570, 0.930]],
  "mass_density_g_cm3": 8.75
}

=====

#two
{
  "formula": "Dy4HoEr2",
  "functional": "GGA-PBE",
  "state": "relaxed",
  "cell": [[6.084, 0.000, 0.000], [0.000, 6.485, 0.000], [-3.004, 0.000, 11.031]],
  "species": ["Dy", "Dy", "Dy", "Dy", "Dy", "Dy", "Dy", "Dy", "Ho", "Ho", "Er", "Er", "Er", "Er"],
  "frac_coords": [[0.026, 0.250, 0.358], [0.147, 0.250, 0.944], [0.349, 0.504, 0.212], [0.349, 0.996, 0.212], [0.651, 0.004, 0.788], [0.651, 0.496, 0.788], [0.853, 0.750, 0.056], [0.974, 0.750, 0.642], [0.158, 0.250, 0.659], [0.842, 0.750, 0.341], [0.289, 0.750, 0.928], [0.394, 0.750, 0.503], [0.606, 0.250, 0.497], [0.711, 0.250, 0.072]],
  "mass_density_g_cm3": 8.77
}

=====

Which of them is the least stable? Correct choice: #two.